Entry 1:
CsPtAu3: relaxed, GGA-PBE.

abc: 5.259 5.259 5.259
angles: 90.00 90.00 90.00
Sites, in units of the cell vectors:
Cs (0.500, 0.500, 0.500)
Au (0.000, 0.500, 0.000)
Au (0.000, 0.000, 0.500)
Au (0.500, 0.000, 0.000)
Pt (0.000, 0.000, 0.000)

Energy of formation from the pure elements = 0.1201 eV/atom
E above lowest polymorph = 0.00 kcal/mol of atoms
Crystal system = cubic

Entry 2:
Tb4YOs2: relaxed, GGA-PBE.

abc: 6.323 7.930 7.845
angles: 112.24 90.00 90.00
Sites, in units of the cell vectors:
Tb (0.502, 0.418, 0.760)
Tb (0.250, 0.249, 0.324)
Tb (0.750, 0.751, 0.676)
Tb (0.998, 0.418, 0.760)
Tb (0.750, 0.021, 0.378)
Tb (0.002, 0.582, 0.240)
Tb (0.498, 0.582, 0.240)
Tb (0.250, 0.979, 0.622)
Y (0.250, 0.840, 0.973)
Y (0.750, 0.160, 0.027)
Os (0.250, 0.255, 0.976)
Os (0.750, 0.745, 0.024)
Os (0.750, 0.377, 0.413)
Os (0.250, 0.623, 0.587)

Energy of formation from the pure elements = -0.1469 eV/atom
Crystal system = monoclinic

Entry 3:
SiTcAs2: relaxed, GGA-PBE.

abc: 9.340 9.340 9.340
angles: 18.41 18.41 18.41
Sites, in units of the cell vectors:
As (0.022, 0.022, 0.022)
As (0.232, 0.232, 0.232)
Si (0.490, 0.490, 0.490)
Tc (0.756, 0.756, 0.756)

Formation energy (no corrections) = -11 meV per atom
Crystal system = trigonal

We obtain DOS(E_F) values of 0.375, 0.926, 0.571 states/eV per atom for the records listed above, in that order.